Below is a relaxed structure of MgPBr, with properties calculated at the PBE-GGA level.

```
3
Lattice="-1.601 1.601 8.116 1.601 -1.601 8.116 1.601 1.601 -8.116" Properties=species:S:1:pos:R:3 pbc="T T T"
Mg 0.000 0.000 0.000
P 0.000 0.000 6.326
Br 0.000 0.000 9.745
```

## Properties
- distance to the lowest polymorph of the same formula (kJ per mole of atoms) = 62.0
- space-group type = I4mm
- calculated volume (Å³ per atom) = 27.736
- magnetization (μB per cell) = 0.0

---

Below is a relaxed structure of MgP2Br, with properties calculated at the PBE-GGA level.

```
4
Lattice="3.577 0.000 0.000 0.000 3.577 0.000 0.000 0.000 6.257" Properties=species:S:1:pos:R:3 pbc="T T T"
Mg 0.000 0.000 0.000
P 0.000 1.789 3.129
P 1.789 0.000 3.129
Br 1.789 1.789 0.000
```

## Properties
- distance to the lowest polymorph of the same formula (kJ per mole of atoms) = 44.8
- space-group type = P4/mmm
- calculated volume (Å³ per atom) = 20.020
- magnetization (μB per cell) = 0.0

---

Below is a relaxed structure of MgPBr3, with properties calculated at the PBE-GGA level.

```
5
Lattice="5.200 0.000 0.000 0.000 5.200 0.000 0.000 0.000 5.200" Properties=species:S:1:pos:R:3 pbc="T T T"
Mg 0.000 0.000 0.000
P 2.600 2.600 2.600
Br 0.000 2.600 2.600
Br 2.600 0.000 2.600
Br 2.600 2.600 0.000
```

## Properties
- distance to the lowest polymorph of the same formula (kJ per mole of atoms) = 6.4
- space-group type = Pm-3m
- calculated volume (Å³ per atom) = 28.114
- magnetization (μB per cell) = 0.5

---

Below is a relaxed structure of MgP2Br, with properties calculated at the PBE-GGA level.

```
4
Lattice="3.455 -1.714 0.000 3.455 1.714 0.000 -2.017 0.000 8.434" Properties=species:S:1:pos:R:3 pbc="T T T"
Mg 0.000 0.000 0.000
P 0.414 0.000 6.604
P 2.585 0.000 5.701
Br 4.695 0.000 1.532
```

## Properties
- distance to the lowest polymorph of the same formula (kJ per mole of atoms) = 1.7
- space-group type = Cm
- calculated volume (Å³ per atom) = 24.970
- magnetization (μB per cell) = 0.0

---

Below is a relaxed structure of MgPBr, with properties calculated at the PBE-GGA level.

```
6
Lattice="3.599 0.000 0.000 1.798 3.620 0.000 0.626 0.321 11.603" Properties=species:S:1:pos:R:3 pbc="T T T"
Mg 0.894 1.512 2.209
Mg 5.128 2.429 9.394
P 1.526 0.373 10.931
P 4.497 3.568 0.672
Br 2.695 2.856 3.706
Br 3.327 1.085 7.897
```

## Properties
- distance to the lowest polymorph of the same formula (kJ per mole of atoms) = 0.1
- space-group type = P-1
- calculated volume (Å³ per atom) = 25.195
- magnetization (μB per cell) = 0.0

---

Below is a relaxed structure of MgPBr, with properties calculated at the PBE-GGA level.

```
3
Lattice="0.000 3.323 3.323 3.323 0.000 3.323 3.323 3.323 0.000" Properties=species:S:1:pos:R:3 pbc="T T T"
Mg 0.000 0.000 0.000
P 1.662 1.662 1.662
Br 3.323 3.323 3.323
```

## Properties
- distance to the lowest polymorph of the same formula (kJ per mole of atoms) = 106.7
- space-group type = F-43m
- calculated volume (Å³ per atom) = 24.472
- magnetization (μB per cell) = 0.0

---

Below is a relaxed structure of MgP2Br8, with properties calculated at the PBE-GGA level.

```
11
Lattice="4.648 -6.811 0.000 4.648 6.811 0.000 -2.136 0.000 8.316" Properties=species:S:1:pos:R:3 pbc="T T T"
Mg 0.000 0.000 0.000
P 0.460 0.000 5.961
P 6.700 0.000 2.355
Br 0.078 1.752 7.416
Br 0.790 0.000 2.321
Br 0.078 -1.752 7.416
Br 2.688 0.000 5.926
Br 4.471 0.000 2.390
Br 7.081 1.752 0.900
Br 6.369 0.000 5.994
Br 7.081 -1.752 0.900
```

## Properties
- space-group type = C2/m
- calculated volume (Å³ per atom) = 47.860
- magnetization (μB per cell) = 0.0

---

Below is a relaxed structure of MgPBr4, with properties calculated at the PBE-GGA level.

```
6
Lattice="0.000 4.443 4.443 4.443 0.000 4.443 4.443 4.443 0.000" Properties=species:S:1:pos:R:3 pbc="T T T"
Mg 0.000 0.000 0.000
P 6.664 6.664 6.664
Br 3.325 3.325 3.325
Br 5.560 5.560 3.325
Br 5.560 3.325 5.560
Br 3.325 5.560 5.560
```

## Properties
- space-group type = F-43m
- calculated volume (Å³ per atom) = 29.227
- magnetization (μB per cell) = 1.8

---

Below is a relaxed structure of MgP4Br2, with properties calculated at the PBE-GGA level.

```
7
Lattice="-2.424 2.424 7.929 2.424 -2.424 7.929 2.424 2.424 -7.929" Properties=species:S:1:pos:R:3 pbc="T T T"
Mg 0.000 0.000 0.000
P 2.424 0.000 0.000
P 0.000 0.000 2.575
P 0.000 2.424 0.000
P 0.000 0.000 13.282
Br 0.000 0.000 4.739
Br 0.000 0.000 11.119
```

## Properties
- space-group type = I4/mmm
- calculated volume (Å³ per atom) = 26.622
- magnetization (μB per cell) = 0.0

---

Below is a relaxed structure of MgP2Br, with properties calculated at the PBE-GGA level.

```
8
Lattice="-1.897 1.897 11.533 1.897 -1.897 11.533 1.897 1.897 -11.533" Properties=species:S:1:pos:R:3 pbc="T T T"
Mg 0.000 0.000 0.000
Mg 0.000 1.897 5.766
P 2.846 0.635 -2.883
P 0.635 0.949 2.883
P -0.949 1.262 8.650
P 1.262 0.949 14.416
Br 1.897 0.000 5.766
Br 0.000 0.000 11.533
```

## Properties
- distance to the lowest polymorph of the same formula (kJ per mole of atoms) = 25.3
- space-group type = I-42d
- calculated volume (Å³ per atom) = 20.752
- magnetization (μB per cell) = 0.0

---

Below is a relaxed structure of MgP2Br, with properties calculated at the PBE-GGA level.

```
4
Lattice="3.583 0.000 0.000 0.000 3.404 0.000 -0.920 0.000 7.831" Properties=species:S:1:pos:R:3 pbc="T T T"
Mg 0.000 0.000 0.000
P -0.523 1.702 5.671
P 0.938 0.000 5.708
Br 1.840 1.702 1.401
```

## Properties
- distance to the lowest polymorph of the same formula (kJ per mole of atoms) = 0.0
- space-group type = Pm
- calculated volume (Å³ per atom) = 23.875
- magnetization (μB per cell) = 0.0

---

Below is a relaxed structure of MgPBr, with properties calculated at the PBE-GGA level.

```
6
Lattice="3.619 0.000 0.000 1.809 3.613 0.000 0.404 1.526 11.414" Properties=species:S:1:pos:R:3 pbc="T T T"
Mg 0.000 0.000 0.000
Mg 2.229 1.523 7.010
P 2.223 3.077 9.880
P 4.033 3.076 8.547
Br 2.226 3.796 5.518
Br 3.623 2.273 1.494
```

## Properties
- distance to the lowest polymorph of the same formula (kJ per mole of atoms) = 0.0
- space-group type = P1
- calculated volume (Å³ per atom) = 24.869
- magnetization (μB per cell) = 0.0

---

no.,electronic total energy (eV per cell),E_form (uncorrected) (eV per atom)
1,-9.1,-0.154
2,-14.0,0.029
3,-12.3,-0.050
4,-15.8,-0.418
5,-22.1,-0.796
6,-7.7,0.309
7,-31.9,-0.554
8,-9.2,0.746
9,-20.6,0.855
10,-29.6,-0.173
11,-15.8,-0.435
12,-22.1,-0.797